(1)
VASP calculation (PBE) on a geometry-optimized Sm7ErSc3 structure.

a = 5.7851 Å, b = 8.2942 Å, c = 8.2942 Å
α = 85.27°, β = 110.44°, γ = 110.44°
Closest atoms and distances in Å follow each position.
Sites, in units of the cell vectors:
1 Sc 0.0000 0.7888 0.2112  9 Sm 3.18-3.53
2 Sc 0.0000 0.2112 0.7888  9 Sm 3.18-3.53
3 Sm 0.6880 0.9778 0.3981  2 Sc 3.11-3.47, 2 Sm 3.31
4 Sc 0.5000 0.0000 0.0000  4 Sm 3.11
5 Sm 0.3120 0.0222 0.6019  2 Sc 3.11-3.47, 2 Sm 3.31
6 Sm 0.8023 0.8031 0.8031  2 Sc 3.18, 1 Er 3.26, 2 Sm 3.48
7 Sm 0.3120 0.6019 0.0222  2 Sc 3.11-3.47, 2 Sm 3.31
8 Sm 0.1977 0.1969 0.1969  2 Sc 3.18, 1 Er 3.26, 2 Sm 3.48
9 Sm 0.0000 0.5000 0.5000  2 Er 2.89
10 Sm 0.6880 0.3981 0.9778  2 Sc 3.11-3.47, 2 Sm 3.31
11 Er 0.5000 0.5000 0.5000  2 Sm 2.89

Values from the calculation:
DOS at the Fermi energy in states/eV per atom: 1.419
Space group: Immm (71)

---

(2)
VASP calculation (PBE) on a geometry-optimized Sm7ErSc2 structure.

a = 5.5627 Å, b = 8.8662 Å, c = 8.8662 Å
α = 119.55°, β = 90.00°, γ = 90.00°
Closest atoms and distances in Å follow each position.
Sites, in units of the cell vectors:
1 Sm 0.5000 0.0624 0.3027  2 Sc 3.11-3.14, 2 Sm 3.26-3.38
2 Sm 0.0000 0.2446 0.7554  2 Sc 2.89
3 Er 0.0000 0.0000 0.0000  10 Sm 3.71-3.75
4 Sm 0.5000 0.5000 0.5000  2 Sc 3.13, 4 Sm 3.38
5 Sm 0.5000 0.9376 0.6973  2 Sc 3.11-3.14, 2 Sm 3.26-3.38
6 Sm 0.0000 0.7554 0.2446  2 Sc 2.89
7 Sc 0.5000 0.2957 0.7043  7 Sm 2.89-3.14
8 Sm 0.5000 0.3027 0.0624  2 Sc 3.11-3.14, 2 Sm 3.26-3.38
9 Sc 0.5000 0.7043 0.2957  7 Sm 2.89-3.14
10 Sm 0.5000 0.6973 0.9376  2 Sc 3.11-3.14, 2 Sm 3.26-3.38

Values from the calculation:
DOS at the Fermi energy in states/eV per atom: 1.352
Space group: Cmmm (65)

---

(3)
VASP calculation (PBE) on a geometry-optimized Sm5Er2Sc2 structure.

a = 12.5247 Å, b = 6.0488 Å, c = 10.1937 Å
α = 107.26°, β = 127.90°, γ = 90.00°
Closest atoms and distances in Å follow each position.
Sites, in units of the cell vectors:
1 Sc 0.8042 0.3074 0.7149  1 Sc 3.20, 6 Sm 3.26-3.48, 2 Er 3.32
2 Sm 0.9237 0.2979 0.5000  3 Er 3.25-3.50, 2 Sc 3.32, 4 Sm 3.38-3.58
3 Sm 0.5429 0.3103 0.7128  5 Sm 3.17-3.53, 2 Er 3.22-3.44, 3 Sc 3.26-3.48
4 Sm 0.0763 0.7979 0.5000  3 Er 3.25-3.50, 2 Sc 3.32, 4 Sm 3.38-3.58
5 Sm 0.8591 0.3460 0.0941  5 Sm 3.38-3.53, 2 Sc 3.42-3.46, 1 Er 3.63
6 Sm 0.4571 0.5975 0.2872  5 Sm 3.17-3.53, 2 Er 3.22-3.44, 3 Sc 3.26-3.48
7 Sm 0.6699 0.8103 0.7128  5 Sm 3.17-3.53, 2 Er 3.22-3.44, 3 Sc 3.26-3.48
8 Er 0.5000 0.3579 0.0000  2 Sm 3.22, 2 Sc 3.32
9 Sc 0.4106 0.8074 0.7149  1 Sc 3.20, 6 Sm 3.26-3.48, 2 Er 3.32
10 Sc 0.1958 0.5926 0.2851  1 Sc 3.20, 6 Sm 3.26-3.48, 2 Er 3.32
11 Sc 0.5894 0.0926 0.2851  1 Sc 3.20, 6 Sm 3.26-3.48, 2 Er 3.32
12 Er 0.1955 0.2746 0.5000  5 Sm 3.25-3.50, 2 Sc 3.32
13 Sm 0.2650 0.7519 0.9059  5 Sm 3.38-3.53, 2 Sc 3.42-3.46, 1 Er 3.63
14 Sm 0.7350 0.8460 0.0941  5 Sm 3.38-3.53, 2 Sc 3.42-3.46, 1 Er 3.63
15 Sm 0.3301 0.0975 0.2872  5 Sm 3.17-3.53, 2 Er 3.22-3.44, 3 Sc 3.26-3.48
16 Er 0.8045 0.7746 0.5000  5 Sm 3.25-3.50, 2 Sc 3.32
17 Er 0.0000 0.8579 0.0000  2 Sm 3.22, 2 Sc 3.32
18 Sm 0.1409 0.2519 0.9059  5 Sm 3.38-3.53, 2 Sc 3.42-3.46, 1 Er 3.63

Values from the calculation:
DOS at the Fermi energy in states/eV per atom: 1.486
Space group: Ima2 (46)

---

(4)
VASP calculation (PBE) on a geometry-optimized Sm2Er5Sc structure.

a = 4.9484 Å, b = 7.0168 Å, c = 14.0390 Å
α = 90.00°, β = 90.00°, γ = 90.00°
Closest atoms and distances in Å follow each position.
Sites, in units of the cell vectors:
1 Er 0.0000 0.4969 0.7518  1 Sc 3.48, 7 Er 3.49-3.54, 4 Sm 3.50-3.53
2 Sm 0.5000 0.2538 0.1236  10 Er 3.48-3.54, 2 Sc 3.48
3 Er 0.5000 0.7513 0.1240  4 Sm 3.48-3.54, 6 Er 3.49-3.53, 2 Sc 3.50
4 Er 0.5000 0.2487 0.8760  4 Sm 3.48-3.54, 6 Er 3.49-3.53, 2 Sc 3.50
5 Er 0.0000 0.0000 0.0000  6 Er 3.49-3.54, 4 Sm 3.51, 2 Sc 3.51
6 Er 0.0000 0.5031 0.2482  1 Sc 3.48, 7 Er 3.49-3.54, 4 Sm 3.50-3.53
7 Sc 0.0000 0.5000 0.0000  4 Sm 3.48, 8 Er 3.48-3.51
8 Sm 0.5000 0.2462 0.6236  10 Er 3.48-3.54, 2 Sc 3.48
9 Er 0.0000 0.5000 0.5000  6 Er 3.49-3.54, 4 Sm 3.51, 2 Sc 3.51
10 Sm 0.5000 0.7538 0.3764  10 Er 3.48-3.54, 2 Sc 3.48
11 Er 0.5000 0.7487 0.6240  4 Sm 3.48-3.54, 6 Er 3.49-3.53, 2 Sc 3.50
12 Er 0.5000 0.2513 0.3760  4 Sm 3.48-3.54, 6 Er 3.49-3.53, 2 Sc 3.50
13 Sc 0.0000 0.0000 0.5000  4 Sm 3.48, 8 Er 3.48-3.51
14 Sm 0.5000 0.7462 0.8764  10 Er 3.48-3.54, 2 Sc 3.48
15 Er 0.0000 0.0031 0.2518  1 Sc 3.48, 7 Er 3.49-3.54, 4 Sm 3.50-3.53
16 Er 0.0000 0.9969 0.7482  1 Sc 3.48, 7 Er 3.49-3.54, 4 Sm 3.50-3.53

Values from the calculation:
DOS at the Fermi energy in states/eV per atom: 1.422
Space group: Pbam (55)

---

(5)
VASP calculation (PBE) on a geometry-optimized Sm3Er6Sc structure.

a = 6.0810 Å, b = 9.3190 Å, c = 9.3019 Å
α = 94.24°, β = 139.71°, γ = 102.58°
Closest atoms and distances in Å follow each position.
Sites, in units of the cell vectors:
1 Er 0.8016 0.5974 0.8010  4 Sm 3.47-3.54, 6 Er 3.48-3.52, 2 Sc 3.50-3.51
2 Er 0.6976 0.8970 0.1985  1 Sc 3.49, 5 Sm 3.50-3.56, 6 Er 3.50-3.57
3 Er 0.0974 0.6964 0.5982  7 Er 3.46-3.57, 2 Sc 3.50-3.51, 3 Sm 3.51-3.53
4 Sm 0.3931 0.7962 0.3967  8 Er 3.47-3.56, 1 Sc 3.48, 3 Sm 3.54-3.57
5 Er 0.9026 0.3036 0.4018  7 Er 3.46-3.57, 2 Sc 3.50-3.51, 3 Sm 3.51-3.53
6 Sm 0.6069 0.2038 0.6033  8 Er 3.47-3.56, 1 Sc 3.48, 3 Sm 3.54-3.57
7 Er 0.1984 0.4026 0.1990  4 Sm 3.47-3.54, 6 Er 3.48-3.52, 2 Sc 3.50-3.51
8 Sc 0.5000 0.5000 0.0000  2 Sm 3.48, 10 Er 3.49-3.51
9 Er 0.3024 0.1030 0.8015  1 Sc 3.49, 5 Sm 3.50-3.56, 6 Er 3.50-3.57
10 Sm 0.0000 0.0000 0.0000  8 Er 3.52-3.54, 4 Sm 3.54

Values from the calculation:
DOS at the Fermi energy in states/eV per atom: 1.417
Excess energy over the best structure of this formula in the dataset in kcal/mol of atoms: 0.00
Space group: P-1 (2)

---

(6)
VASP calculation (PBE) on a geometry-optimized Sm4Er2Sc structure.

a = 6.1224 Å, b = 6.5639 Å, c = 11.3925 Å
α = 90.00°, β = 105.03°, γ = 90.00°
Closest atoms and distances in Å follow each position.
Sites, in units of the cell vectors:
1 Er 0.6149 0.7500 0.9974  6 Sm 3.32-3.62, 1 Sc 3.32, 2 Er 3.58
2 Sm 0.9530 0.2500 0.1287  3 Sc 3.24-3.48, 3 Er 3.32-3.40, 2 Sm 3.38
3 Sm 0.6419 0.9902 0.2844  4 Sm 3.15-3.46, 1 Sc 3.37, 1 Er 3.45
4 Sm 0.6419 0.5098 0.2844  4 Sm 3.15-3.46, 1 Sc 3.37, 1 Er 3.45
5 Sm 0.1515 0.7500 0.4451  1 Sc 3.19, 4 Er 3.39-3.42, 4 Sm 3.46-3.55
6 Sm 0.3581 0.4902 0.7156  4 Sm 3.15-3.46, 1 Sc 3.37, 1 Er 3.45
7 Sm 0.3581 0.0098 0.7156  4 Sm 3.15-3.46, 1 Sc 3.37, 1 Er 3.45
8 Er 0.7189 0.7500 0.5804  9 Sm 3.39-3.64
9 Sm 0.8485 0.2500 0.5549  1 Sc 3.19, 4 Er 3.39-3.42, 4 Sm 3.46-3.55
10 Sc 0.8522 0.2500 0.8355  6 Sm 3.19-3.48, 1 Er 3.32
11 Sc 0.1478 0.7500 0.1645  6 Sm 3.19-3.48, 1 Er 3.32
12 Sm 0.0470 0.7500 0.8713  3 Sc 3.24-3.48, 3 Er 3.32-3.40, 2 Sm 3.38
13 Er 0.2811 0.2500 0.4196  9 Sm 3.39-3.64
14 Er 0.3851 0.2500 0.0026  6 Sm 3.32-3.62, 1 Sc 3.32, 2 Er 3.58

Values from the calculation:
DOS at the Fermi energy in states/eV per atom: 1.564
Excess energy over the best structure of this formula in the dataset in kcal/mol of atoms: 2.49
Space group: P2_1/m (11)

---

(7)
VASP calculation (PBE) on a geometry-optimized Sm6ErSc2 structure.

a = 6.2397 Å, b = 10.5131 Å, c = 10.5131 Å
α = 83.77°, β = 65.58°, γ = 65.58°
Closest atoms and distances in Å follow each position.
Sites, in units of the cell vectors:
1 Sm 0.2433 0.0667 0.1548  2 Sc 3.14-3.31, 1 Er 3.26, 5 Sm 3.32-3.42
2 Sc 0.6971 0.7559 0.6299  6 Sm 3.11-3.40
3 Sm 0.6931 0.5750 0.0082  2 Sc 3.21-3.40, 4 Sm 3.32-3.46, 1 Er 3.51
4 Sm 0.2567 0.8452 0.9333  2 Sc 3.14-3.31, 1 Er 3.26, 5 Sm 3.32-3.42
5 Sm 0.8069 0.9918 0.4250  2 Sc 3.21-3.40, 4 Sm 3.32-3.46, 1 Er 3.51
6 Sm 0.7433 0.1548 0.0667  2 Sc 3.14-3.31, 1 Er 3.26, 5 Sm 3.32-3.42
7 Sc 0.8029 0.3701 0.2441  6 Sm 3.11-3.40
8 Er 0.7500 0.8186 0.1814  8 Sm 3.26-3.60
9 Sm 0.7567 0.9333 0.8452  2 Sc 3.14-3.31, 1 Er 3.26, 5 Sm 3.32-3.42
10 Sm 0.9059 0.4375 0.6718  2 Sc 3.11-3.33, 2 Sm 3.23-3.46, 1 Er 3.36
11 Sc 0.1971 0.6299 0.7559  6 Sm 3.11-3.40
12 Sm 0.0941 0.5625 0.3282  2 Sc 3.11-3.33, 2 Sm 3.23-3.46, 1 Er 3.36
13 Sm 0.1931 0.0082 0.5750  2 Sc 3.21-3.40, 4 Sm 3.32-3.46, 1 Er 3.51
14 Er 0.2500 0.1814 0.8186  8 Sm 3.26-3.60
15 Sm 0.5941 0.3282 0.5625  2 Sc 3.11-3.33, 2 Sm 3.23-3.46, 1 Er 3.36
16 Sc 0.3029 0.2441 0.3701  6 Sm 3.11-3.40
17 Sm 0.3069 0.4250 0.9918  2 Sc 3.21-3.40, 4 Sm 3.32-3.46, 1 Er 3.51
18 Sm 0.4059 0.6718 0.4375  2 Sc 3.11-3.33, 2 Sm 3.23-3.46, 1 Er 3.36

Values from the calculation:
DOS at the Fermi energy in states/eV per atom: 1.396
Space group: C2/c (15)

---

(8)
VASP calculation (PBE) on a geometry-optimized Sm2Er2Sc structure.

a = 5.6024 Å, b = 3.5028 Å, c = 16.1372 Å
α = 96.23°, β = 100.00°, γ = 90.00°
Closest atoms and distances in Å follow each position.
Sites, in units of the cell vectors:
1 Sm 0.9368 0.1868 0.8735  6 Sm 3.36-3.50, 2 Er 3.58
2 Sc 0.8239 0.5739 0.6479  10 Er 3.44-3.72, 2 Sc 3.50
3 Er 0.7301 0.9801 0.4603  3 Er 3.04-3.07
4 Sm 0.0632 0.8132 0.1265  6 Sm 3.36-3.50, 2 Er 3.58
5 Sm 0.5439 0.2939 0.0878  8 Sm 3.28-3.50, 2 Er 3.34
6 Er 0.2699 0.0199 0.5397  3 Er 3.04-3.07
7 Er 0.3662 0.1162 0.7323  1 Er 3.04, 2 Sm 3.34
8 Sc 0.1761 0.4261 0.3521  10 Er 3.44-3.72, 2 Sc 3.50
9 Sm 0.4561 0.7061 0.9122  8 Sm 3.28-3.50, 2 Er 3.34
10 Er 0.6338 0.8838 0.2677  1 Er 3.04, 2 Sm 3.34

Values from the calculation:
DOS at the Fermi energy in states/eV per atom: 1.454
Excess energy over the best structure of this formula in the dataset in kcal/mol of atoms: 0.00
Space group: Imma (74)

---

(9)
VASP calculation (PBE) on a geometry-optimized Sm3Er3Sc2 structure.

a = 5.4419 Å, b = 5.6429 Å, c = 8.9123 Å
α = 109.73°, β = 107.78°, γ = 90.00°
Closest atoms and distances in Å follow each position.
Sites, in units of the cell vectors:
1 Sm 0.3595 0.9084 0.7189  4 Sc 3.22-3.40, 1 Sm 3.35, 5 Er 3.51-3.58
2 Sc 0.2503 0.3104 0.5006  4 Sm 3.22-3.40, 4 Er 3.27-3.40, 2 Sc 3.46
3 Er 0.8616 0.3229 0.7231  4 Sc 3.27-3.40, 1 Er 3.45, 5 Sm 3.50-3.58
4 Sc 0.7497 0.6896 0.4994  4 Sm 3.22-3.40, 4 Er 3.27-3.40, 2 Sc 3.46
5 Er 0.1384 0.6771 0.2769  4 Sc 3.27-3.40, 1 Er 3.45, 5 Sm 3.50-3.58
6 Sm 0.6405 0.0916 0.2811  4 Sc 3.22-3.40, 1 Sm 3.35, 5 Er 3.51-3.58
7 Er 0.0000 0.0000 0.0000  4 Er 3.45-3.71, 4 Sm 3.53
8 Sm 0.5000 0.5000 0.0000  2 Sm 3.35, 4 Er 3.50

Values from the calculation:
DOS at the Fermi energy in states/eV per atom: 1.685
Space group: C2/m (12)

---

(10)
VASP calculation (PBE) on a geometry-optimized Sm12ErSc6 structure.

a = 9.1616 Å, b = 9.1616 Å, c = 9.1616 Å
α = 109.47°, β = 109.47°, γ = 109.47°
Closest atoms and distances in Å follow each position.
Sites, in units of the cell vectors:
1 Sm 0.5338 0.8016 0.7322  1 Sc 3.01
2 Sc 0.8621 0.3621 0.5000  1 Sc 2.92, 2 Sm 3.01
3 Sc 0.6379 0.5000 0.1379  1 Sc 2.92, 2 Sm 3.01
4 Sm 0.7322 0.9305 0.1984  1 Sc 3.01
5 Sm 0.1984 0.2678 0.4662  1 Sc 3.01
6 Sc 0.1379 0.6379 0.5000  1 Sc 2.92, 2 Sm 3.01
7 Sm 0.2678 0.4662 0.1984  1 Sc 3.01
8 Sm 0.8016 0.2678 0.0695  1 Sc 3.01
9 Sc 0.5000 0.8621 0.3621  1 Sc 2.92, 2 Sm 3.01
10 Sm 0.7322 0.5338 0.8016  1 Sc 3.01
11 Sm 0.8016 0.7322 0.5338  1 Sc 3.01
12 Sc 0.3621 0.5000 0.8621  1 Sc 2.92, 2 Sm 3.01
13 Sm 0.9305 0.1984 0.7322  1 Sc 3.01
14 Sm 0.0695 0.8016 0.2678  1 Sc 3.01
15 Sm 0.4662 0.1984 0.2678  1 Sc 3.01
16 Sm 0.1984 0.7322 0.9305  1 Sc 3.01
17 Sc 0.5000 0.1379 0.6379  1 Sc 2.92, 2 Sm 3.01
18 Sm 0.2678 0.0695 0.8016  1 Sc 3.01
19 Er 0.0000 0.0000 0.0000  12 Sm 3.53

Values from the calculation:
DOS at the Fermi energy in states/eV per atom: 1.666
Space group: Im-3 (204)

---

Number 1: ΔE_f 261.8 kJ/mol of formula units. Number 2: ΔE_f 597.2 kJ/mol of formula units. Number 3: ΔE_f 167.8 kJ/mol of formula units. Number 4: ΔE_f 26.0 kJ/mol of formula units. Number 5: ΔE_f 30.4 kJ/mol of formula units. Number 6: ΔE_f 93.6 kJ/mol of formula units. Number 7: ΔE_f 184.9 kJ/mol of formula units. Number 8: ΔE_f 94.2 kJ/mol of formula units. Number 9: ΔE_f 63.1 kJ/mol of formula units. Number 10: ΔE_f 431.4 kJ/mol of formula units.